1.
Entry from the Alexandria database: a relaxed structure of K2AlAgBr6 (PBE).

Uncorrected formation energy = -1.155 eV/atom
Polymorph energy (0 for the lowest one) = 25.3 meV/atom

Cell lengths 7.594, 7.594, 7.594 Å; angles 60.00, 60.00, 60.00 degrees
Sites, in units of the cell vectors:
1 K 0.750 0.750 0.750
2 K 0.250 0.250 0.250
3 Al 0.000 0.000 0.000
4 Ag 0.500 0.500 0.500
5 Br 0.764 0.236 0.236
6 Br 0.236 0.236 0.764
7 Br 0.236 0.764 0.764
8 Br 0.236 0.764 0.236
9 Br 0.764 0.236 0.764
10 Br 0.764 0.764 0.236

---

2.
Entry from the Alexandria database: a relaxed structure of AlAgMoBr2 (PBE).

Uncorrected formation energy = 0.611 eV/atom

Cell lengths 4.955, 5.550, 4.955 Å; angles 90.00, 90.00, 90.00 degrees
Each line ends with the local moment (μB).
Sites, in units of the cell vectors:
1 Mo 0.000 0.000 0.000  0.86
2 Br 0.000 0.000 0.500  0.01
3 Br 0.500 0.000 0.000  0.05
4 Ag 0.000 0.500 0.000  0.00
5 Al 0.500 0.500 0.500  0.00

---

3.
Entry from the Alexandria database: a relaxed structure of Na2AlAgBr6 (PBE).

Uncorrected formation energy = -0.967 eV/atom

Cell lengths 7.530, 7.530, 7.530 Å; angles 60.00, 60.00, 60.00 degrees
Sites, in units of the cell vectors:
1 Na 0.750 0.750 0.750
2 Na 0.250 0.250 0.250
3 Al 0.000 0.000 0.000
4 Ag 0.500 0.500 0.500
5 Br 0.237 0.763 0.237
6 Br 0.763 0.237 0.237
7 Br 0.763 0.237 0.763
8 Br 0.237 0.237 0.763
9 Br 0.763 0.763 0.237
10 Br 0.237 0.763 0.763

---

4.
Entry from the Alexandria database: a relaxed structure of Na3Al3Si3AgBrO12 (PBE).

Uncorrected formation energy = -2.546 eV/atom

Cell lengths 9.025, 9.025, 9.026 Å; angles 90.01, 90.01, 90.02 degrees
Each line ends with the local moment (μB).
Sites, in units of the cell vectors:
1 Na 0.312 0.814 0.811  0.00
2 Na 0.188 0.687 0.313  0.00
3 Na 0.814 0.312 0.311  0.00
4 Na 0.811 0.688 0.688  0.00
5 Na 0.687 0.188 0.813  0.00
6 Na 0.688 0.811 0.188  0.00
7 Al 0.500 0.498 0.250  0.00
8 Al 0.250 0.002 0.499  0.00
9 Al 0.000 0.750 0.000  0.00
10 Al 0.002 0.250 0.999  0.00
11 Al 0.750 0.000 0.500  0.00
12 Al 0.498 0.500 0.750  0.00
13 Si 0.501 0.250 0.500  0.00
14 Si 0.250 0.501 0.000  0.00
15 Si 0.000 0.000 0.750  0.00
16 Si 0.000 0.000 0.250  0.00
17 Si 0.750 0.499 0.999  0.00
18 Si 0.499 0.750 0.499  0.00
19 Ag 0.336 0.164 0.162  0.09
20 Ag 0.164 0.336 0.662  0.09
21 Br 0.504 0.996 0.999  0.03
22 Br 0.996 0.504 0.499  0.03
23 O 0.442 0.348 0.641  0.01
24 O 0.442 0.651 0.358  0.00
25 O 0.362 0.150 0.438  0.01
26 O 0.360 0.851 0.556  0.00
27 O 0.348 0.442 0.141  0.01
28 O 0.353 0.562 0.863  0.00
29 O 0.150 0.362 0.938  0.01
30 O 0.150 0.640 0.059  0.00
31 O 0.141 0.058 0.651  0.00
32 O 0.137 0.940 0.352  0.00
33 O 0.058 0.141 0.151  0.00
34 O 0.058 0.858 0.848  0.00
35 O 0.940 0.137 0.852  0.00
36 O 0.942 0.860 0.150  0.00
37 O 0.858 0.058 0.348  0.00
38 O 0.860 0.942 0.650  0.00
39 O 0.851 0.360 0.056  0.00
40 O 0.848 0.641 0.942  0.00
41 O 0.651 0.442 0.858  0.00
42 O 0.650 0.556 0.140  0.00
43 O 0.640 0.150 0.559  0.00
44 O 0.641 0.848 0.442  0.00
45 O 0.562 0.353 0.363  0.00
46 O 0.556 0.650 0.640  0.00

---

5.
Entry from the Alexandria database: a relaxed structure of AlRe2AgBr (PBE).

Uncorrected formation energy = 2.489 eV/atom

Cell lengths 5.091, 5.190, 5.091 Å; angles 90.00, 90.00, 90.00 degrees
Each line ends with the local moment (μB).
Sites, in units of the cell vectors:
1 Re 0.000 0.000 0.500  3.00
2 Re 0.500 0.000 0.000  2.77
3 Br 0.000 0.500 0.000  0.13
4 Ag 0.000 0.000 0.000  0.14
5 Al 0.500 0.500 0.500  0.01

---

6.
Entry from the Alexandria database: a relaxed structure of Al2AgSbBr (PBE).

Uncorrected formation energy = 0.913 eV/atom

Cell lengths 5.323, 5.579, 5.323 Å; angles 90.00, 90.00, 90.00 degrees
Sites, in units of the cell vectors:
1 Sb 0.000 0.500 0.000
2 Br 0.000 0.000 0.000
3 Ag 0.500 0.500 0.500
4 Al 0.000 0.000 0.500
5 Al 0.500 0.000 0.000

---

7.
Entry from the Alexandria database: a relaxed structure of AlAgSeBr2 (PBE).

Uncorrected formation energy = -0.194 eV/atom
Polymorph energy (0 for the lowest one) = 0.0 meV/atom

Cell lengths 5.098, 5.098, 4.982 Å; angles 90.00, 90.00, 90.00 degrees
Sites, in units of the cell vectors:
1 Se 0.000 0.000 0.500
2 Br 0.000 0.500 0.000
3 Br 0.500 0.000 0.000
4 Ag 0.500 0.500 0.500
5 Al 0.000 0.000 0.000

---

8.
Entry from the Alexandria database: a relaxed structure of AlAgSe2Br (PBE).

Uncorrected formation energy = -0.010 eV/atom
Polymorph energy (0 for the lowest one) = 0.0 meV/atom

Cell lengths 4.878, 4.878, 5.277 Å; angles 90.00, 90.00, 90.00 degrees
Sites, in units of the cell vectors:
1 Se 0.000 0.500 0.000
2 Se 0.500 0.000 0.000
3 Br 0.000 0.000 0.500
4 Ag 0.500 0.500 0.500
5 Al 0.000 0.000 0.000

---

9.
Entry from the Alexandria database: a relaxed structure of AlAgSeBr2 (PBE).

Uncorrected formation energy = 0.205 eV/atom
Polymorph energy (0 for the lowest one) = 399.4 meV/atom

Cell lengths 5.377, 5.377, 5.164 Å; angles 90.00, 90.00, 90.00 degrees
Each line ends with the local moment (μB).
Sites, in units of the cell vectors:
1 Se 0.000 0.000 0.500  0.46
2 Br 0.000 0.500 0.000  0.07
3 Br 0.500 0.000 0.000  0.07
4 Ag 0.000 0.000 0.000  0.06
5 Al 0.500 0.500 0.500  0.01

---

10.
Entry from the Alexandria database: a relaxed structure of AlAgSe2Br (PBE).

Uncorrected formation energy = 0.426 eV/atom
Polymorph energy (0 for the lowest one) = 435.6 meV/atom

Cell lengths 5.104, 5.104, 5.386 Å; angles 90.00, 90.00, 90.00 degrees
Sites, in units of the cell vectors:
1 Se 0.000 0.500 0.000
2 Se 0.500 0.000 0.000
3 Br 0.000 0.000 0.500
4 Ag 0.000 0.000 0.000
5 Al 0.500 0.500 0.500

---

11.
Entry from the Alexandria database: a relaxed structure of Al3AgC (PBE).

ΔH_f (0 K) = 0.306 eV/atom
Polymorph energy (0 for the lowest one) = 0.0 meV/atom

Cell lengths 4.123, 4.123, 4.123 Å; angles 90.00, 90.00, 90.00 degrees
Sites, in units of the cell vectors:
1 C 0.000 0.000 0.000
2 Al 0.000 0.500 0.000
3 Al 0.000 0.000 0.500
4 Al 0.500 0.000 0.000
5 Ag 0.500 0.500 0.500

---

12.
Entry from the Alexandria database: a relaxed structure of Al2AgC (PBE).

ΔH_f (0 K) = 0.281 eV/atom

Cell lengths 5.749, 5.749, 5.719 Å; angles 59.83, 59.83, 90.00 degrees
Sites, in units of the cell vectors:
1 C 0.500 0.500 0.000
2 C 0.250 0.750 0.500
3 Al 0.521 0.125 0.250
4 Al 0.229 0.625 0.250
5 Al 0.375 0.479 0.750
6 Al 0.875 0.771 0.750
7 Ag 0.000 0.000 0.000
8 Ag 0.750 0.250 0.500

---

no.,total energy (Ry per atom),calculated density (Mg/m³)
1,-0.2233,3.71
2,-0.2604,4.76
3,-0.2127,3.63
4,-0.4922,2.77
5,-0.3046,7.25
6,-0.1700,3.82
7,-0.2116,4.79
8,-0.2247,4.93
9,-0.1822,4.16
10,-0.1927,4.41
11,-0.3201,4.76
12,-0.3388,4.34